Material: SbMoN2F
Method: DFT, PBE+U
State: optimized geometry

The calculation puts the density of states at the Fermi level at 1.581 states/eV/f.u. As for the energy above the most stable polymorph in this dataset: 416 meV per atom. For the size of the total moment, the calculation gives 3.65 Bohr magnetons per cell. As for the total energy: -26.9 eV/f.u. The calculation puts the volume at 14.095 Å³/atom.

CIF file:
```
data_SbMoN2F
_cell_length_a 4.138
_cell_length_b 4.138
_cell_length_c 4.116
_cell_angle_alpha 90.00
_cell_angle_beta 90.00
_cell_angle_gamma 90.00
_space_group_name_H-M_alt 'P 4/m m m'
_space_group_IT_number 123
_space_group_name_Hall '-P 4 2'
loop_
_atom_site_label
_atom_site_type_symbol
_atom_site_fract_x
_atom_site_fract_y
_atom_site_fract_z
Sb1 Sb 0.000 0.000 0.000
Mo1 Mo 0.500 0.500 0.500
N1 N 0.000 0.500 0.000
F1 F 0.000 0.000 0.500
```